Record 1
Below is a relaxed TbDyAg2As4 crystal, with properties calculated at the GGA-PBE level.

For the raw total energy, the calculation gives -4.942 eV/atom.

It has space group P4mm (No. 99), with a = 3.998 Å, b = 3.998 Å, c = 10.304 Å, α = 90.00°, β = 90.00° and γ = 90.00°. The inequivalent atoms are Tb at (0.000, 0.000, 0.000), Dy at (0.500, 0.500, 0.451), Ag at (0.000, 0.500, 0.725), As at (0.000, 0.000, 0.536), As at (0.000, 0.500, 0.226) and As at (0.500, 0.500, 0.914).

***

Record 2
Below is a relaxed LaZnGa4 crystal, with properties calculated at the GGA-PBE level.

For the raw total energy, the calculation gives -3.435 eV/atom.

It has space group P-6m2 (No. 187), with a = 4.5299 Å, b = 4.5299 Å, c = 6.7682 Å, α = 90.00°, β = 90.00° and γ = 120.00°. The inequivalent atoms are La at (0.0000, 0.0000, 0.0000), Zn at (0.0000, 0.0000, 0.5000), Ga at (0.3333, 0.6667, 0.2897) and Ga at (0.6667, 0.3333, 0.2937).

***

Record 3
Below is a relaxed Tm2CuSn6 crystal, with properties calculated at the GGA-PBE level.

For the raw total energy, the calculation gives -4.438 eV/atom.

It has space group Cmmm (No. 65), with a = 4.425 Å, b = 22.263 Å, c = 4.490 Å, α = 90.00°, β = 90.00° and γ = 90.00°. The inequivalent atoms are Tm at (0.000, 0.179, 0.000), Cu at (0.000, 0.500, 0.500), Sn at (0.000, 0.073, 0.500), Sn at (0.000, 0.296, 0.500) and Sn at (0.000, 0.428, 0.000).

***

Record 4
Below is a relaxed TaTlCoIr crystal, with properties calculated at the GGA-PBE level.

For the raw total energy, the calculation gives -7.428 eV/atom. For the offset from the most stable computed form, the calculation gives 0.0 meV/atom.

It has space group F-43m (No. 216), with a = 6.394 Å, b = 6.394 Å, c = 6.394 Å, α = 90.00°, β = 90.00° and γ = 90.00°. The inequivalent atoms are Ta at (0.000, 0.000, 0.000), Tl at (0.000, 0.000, 0.500), Co at (0.250, 0.250, 0.750) and Ir at (0.250, 0.250, 0.250).